Entry 1:
NbReW2Br (PBE, relaxed); E = -7.40 eV per atom; formation energy (no corrections) = 2.6203 eV/atom; M_tot = 1.0 μB/cell
1.0
4.899 0.000 0.000
0.000 4.832 0.000
0.000 0.000 4.899
Br W Nb Re
1 2 1 1
Cartesian
2.450 2.416 2.450
2.450 0.000 0.000
0.000 0.000 2.450
0.000 0.000 0.000
0.000 2.416 0.000

***

Entry 2:
Pm2Sm3Er (PBE, relaxed); E = -4.70 eV per atom; offset from the most stable computed form = 0.000 eV per formula unit; formation energy from the elements = 0.000 eV/atom; M_tot = 0.0 μB/cell
1.0
-9.802 -0.785 6.349
2.025 -5.419 2.457
1.388 5.445 2.816
Sm Pm Er
6 4 2
Cartesian
-7.797 -0.748 8.794
-7.583 -4.386 8.673
-2.898 -0.356 5.617
-8.010 2.890 8.914
-3.111 3.282 5.737
-2.684 -3.994 5.496
0.014 1.660 4.967
-6.021 1.260 6.390
-5.808 -2.372 6.270
0.227 -1.971 4.847
-4.210 -0.543 8.963
-1.584 -0.168 2.273

***

Entry 3:
LiPmDySb (PBE, relaxed); E = -4.31 eV per atom; formation energy (no corrections) = -0.4664 eV/atom; M_tot = 0.0 μB/cell
1.0
-4.384 1.454 2.522
-0.490 -0.906 5.160
0.129 4.014 3.400
Sb Dy Li Pm
1 1 1 1
Cartesian
0.000 0.000 0.000
-1.186 1.141 2.771
-2.372 2.281 5.541
-3.558 3.422 8.312

***

Entry 4:
VCd2N2 (PBE, relaxed); E = -4.66 eV per atom; offset from the most stable computed form = 2.591 eV per formula unit; formation energy (no corrections) = 0.8560 eV/atom; M_tot = 3.7 μB/cell
1.0
4.207 0.000 0.000
0.000 4.207 0.000
2.104 2.104 5.079
N Cd V
2 2 1
Cartesian
2.104 2.104 0.586
4.207 4.207 4.493
4.207 2.104 2.539
2.104 4.207 2.539
0.000 0.000 0.000

***

Entry 5:
Cs2CePtO4 (PBE, relaxed); E = -5.85 eV per atom; formation energy (no corrections) = -1.6565 eV/atom; M_tot = 0.0 μB/cell
1.0
6.061 0.000 0.000
3.031 7.349 0.000
3.031 0.000 11.762
Cs O Ce Pt
4 8 2 2
Cartesian
3.031 0.000 7.496
7.577 3.674 10.147
6.061 0.000 4.266
7.577 3.674 1.615
10.555 5.901 11.704
3.084 2.227 5.823
4.493 1.447 0.058
6.008 2.227 5.938
9.145 5.122 5.938
4.599 1.447 11.704
6.008 5.122 5.823
4.599 5.901 0.058
7.577 3.674 5.881
0.000 0.000 0.000
4.546 3.674 5.881
3.031 0.000 0.000

***

Entry 6:
Zn2Ag3 (PBE, relaxed); E = -2.25 eV per atom; offset from the most stable computed form = 0.026 eV per formula unit; formation energy from the elements = -0.027 eV/atom; M_tot = 0.0 μB/cell
1.0
4.827 0.000 0.000
2.414 4.928 0.338
2.414 1.900 7.092
Zn Ag
4 6
Cartesian
3.952 2.248 3.953
5.702 3.761 0.576
5.702 4.580 3.476
3.952 3.067 6.853
6.295 2.657 5.403
8.117 4.853 4.841
3.359 4.171 2.026
3.951 1.438 1.126
1.537 1.976 2.588
5.703 5.390 6.303

***

Which value of M_tot does entry 1 give? 1.0 μB/cell

***

What did the third record say?
LiPmDySb (PBE, relaxed); E = -4.31 eV per atom; formation energy (no corrections) = -0.4664 eV/atom; M_tot = 0.0 μB/cell
1.0
-4.384 1.454 2.522
-0.490 -0.906 5.160
0.129 4.014 3.400
Sb Dy Li Pm
1 1 1 1
Cartesian
0.000 0.000 0.000
-1.186 1.141 2.771
-2.372 2.281 5.541
-3.558 3.422 8.312

***

M_tot of number 4 (VCd2N2)? 3.7 μB/cell

***

Which formula does entry 2 have? Pm2Sm3Er